(1)
First-principles (PBE) data for Sc2Tl after structural relaxation, as listed in Alexandria via LeMat-Bulk.

Calculated values
The total moment is 0.0 μB per formula unit.

```
Sc2Tl
1.0
1.668 5.735 -0.502
-1.668 5.735 -0.502
0.000 0.772 7.683
Sc Tl
4 2
Direct
0.953 0.953 0.981
0.347 0.347 0.336
0.712 0.712 0.660
0.609 0.609 0.274
0.989 0.989 0.590
0.223 0.223 0.992
```

---

(2)
First-principles (PBE) data for Sc8Tl after structural relaxation, as listed in Alexandria via LeMat-Bulk.

Calculated values
The total moment is 0.6 μB per formula unit.

```
Sc8Tl
1.0
7.286 -0.001 0.000
-5.882 4.299 0.000
-0.702 -2.149 6.926
Sc Tl
8 1
Direct
0.336 0.664 0.000
0.664 0.336 0.000
0.000 0.336 0.336
0.664 0.664 0.328
0.336 0.000 0.336
0.336 0.336 0.672
0.000 0.664 0.664
0.664 0.000 0.664
0.000 0.000 0.000
```

---

Going through the records in order, we get formation energy from the elements values of -108 -48 meV per atom.
Going through the records in order, we get V values of 148.27 216.90 Å³ per cell.